Record 1
## Ba2LaOsO8 (PBE-GGA)

Data for an optimized crystal structure of Ba2LaOsO8.

Values from the calculation:
DOS(E_F)	3.2	states/eV/f.u.
DFT total energy	-6.9010	eV/atom
space group	P2/m (10)
formation energy from raw total energies	-186.1	kJ/mol of atoms

Unit cell a=4.6059 b=7.4764 c=5.9809 alpha=90.00 beta=93.96 gamma=90.00
Fractional coordinates of all 12 atoms:
Ba1 0.0000 0.2441 0.0000
Ba2 0.0000 0.7559 0.0000
La1 0.5000 0.5000 0.5000
Os1 0.5000 0.0000 0.5000
O1 0.0849 0.0000 0.4045
O2 0.0940 0.5000 0.2606
O3 0.4478 0.1818 0.7122
O4 0.4478 0.8182 0.7122
O5 0.5522 0.1818 0.2878
O6 0.5522 0.8182 0.2878
O7 0.9060 0.5000 0.7394
O8 0.9151 0.0000 0.5955

---

Record 2
## Y3MnRh (PBE-GGA)

Data for an optimized crystal structure of Y3MnRh.

Values from the calculation:
DOS(E_F)	4.4	states/eV/f.u.
DFT total energy	-6.8485	eV/atom
space group	Pm-3m (221)
distance to the lowest polymorph of the same formula	0.0	meV/atom
ΔH_f (0 K)	0.33	eV per atom

Unit cell a=4.9841 b=4.9841 c=4.9841 alpha=90.00 beta=90.00 gamma=90.00
Fractional coordinates of all 5 atoms:
Y1 0.0000 0.0000 0.5000
Y2 0.0000 0.5000 0.0000
Y3 0.5000 0.0000 0.0000
Mn1 0.0000 0.0000 0.0000
Rh1 0.5000 0.5000 0.5000

---

Record 3
## Ba2CdPb3 (PBE-GGA)

Data for an optimized crystal structure of Ba2CdPb3.

Values from the calculation:
DOS(E_F)	4.1	states/eV/f.u.
DFT total energy	-3.0360	eV/atom
space group	Fmmm (69)
distance to the lowest polymorph of the same formula	53.4	meV/atom
ΔH_f (0 K)	-0.39	eV per atom

Unit cell a=10.3038 b=10.2508 c=7.2018 alpha=69.89 beta=69.09 gamma=41.02
Fractional coordinates of all 12 atoms:
Ba1 0.2396 0.7604 0.7604
Ba2 0.2500 0.2500 0.2500
Ba3 0.7500 0.7500 0.7500
Ba4 0.7604 0.2396 0.2396
Cd1 0.3335 0.3335 0.6665
Cd2 0.6665 0.6665 0.3335
Pb1 0.1708 0.1708 0.8292
Pb2 0.1727 0.6575 0.3425
Pb3 0.3425 0.8273 0.1727
Pb4 0.6575 0.1727 0.8273
Pb5 0.8273 0.3425 0.6575
Pb6 0.8292 0.8292 0.1708

---

Record 4
## NiTePbI2 (PBE-GGA)

Data for an optimized crystal structure of NiTePbI2.

Values from the calculation:
DOS(E_F)	4.1	states/eV/f.u.
DFT total energy	-3.1424	eV/atom
space group	P4/mmm (123)
distance to the lowest polymorph of the same formula	0.0	meV/atom
formation energy from raw total energies	0.4	kJ/mol of atoms

Unit cell a=5.2660 b=5.2660 c=5.3232 alpha=90.00 beta=90.00 gamma=90.00
Fractional coordinates of all 5 atoms:
Ni1 0.0000 0.0000 0.0000
Te1 0.0000 0.0000 0.5000
Pb1 0.5000 0.5000 0.5000
I1 0.0000 0.5000 0.0000
I2 0.5000 0.0000 0.0000

---

Record 5
## TlCuSe (PBE-GGA)

Data for an optimized crystal structure of TlCuSe.

Values from the calculation:
DOS(E_F)	0.3	states/eV/f.u.
DFT total energy	-3.5467	eV/atom
space group	P2_1/c (14)
formation energy from raw total energies	-22.3	kJ/mol of atoms

Unit cell a=6.7927 b=6.6089 c=7.7729 alpha=90.00 beta=119.57 gamma=90.00
Fractional coordinates of all 12 atoms:
Tl1 0.1867 0.1093 0.3465
Tl2 0.1867 0.3907 0.8465
Tl3 0.8133 0.6093 0.1535
Tl4 0.8133 0.8907 0.6535
Cu1 0.4650 0.6191 0.3628
Cu2 0.4650 0.8809 0.8628
Cu3 0.5350 0.1191 0.1372
Cu4 0.5350 0.3809 0.6372
Se1 0.2888 0.6717 0.5759
Se2 0.2888 0.8283 0.0759
Se3 0.7112 0.1717 0.9241
Se4 0.7112 0.3283 0.4241

---

Record 6
## In2MoW (PBE-GGA)

Data for an optimized crystal structure of In2MoW.

Values from the calculation:
DOS(E_F)	2.7	states/eV/f.u.
DFT total energy	-6.7355	eV/atom
space group	P2/m (10)
distance to the lowest polymorph of the same formula	282.6	meV/atom
ΔH_f (0 K)	0.58	eV per atom

Unit cell a=2.8847 b=4.6416 c=5.6226 alpha=90.00 beta=101.45 gamma=90.00
Fractional coordinates of all 4 atoms:
In1 0.2499 0.0000 0.2493
In2 0.7501 0.0000 0.7507
Mo1 0.5000 0.5000 0.0000
W1 0.0000 0.5000 0.5000